Material: BaCa2Al
Method: DFT, PBEsol
State: optimized geometry

## Properties
* space group: Immm
* magnetic moment: 0.000 μB/atom
* ΔE_f: -0.043 eV per atom

Cell: 3.9094 6.0905 7.1719 Å, 115.13 105.82 90.00°
With the nearest neighbours (Å) after each atom.
Positions (direct):
Ca1 0.7997 0.7997 0.5995  2 Al 3.16
Ca2 0.2003 0.2003 0.4005  2 Al 3.16
Ba1 0.0000 0.5000 0.0000  4 Al 3.62, 2 Ba 3.91, 4 Ca 3.93
Al1 0.5000 0.0000 0.0000  4 Ca 3.16